Record 1
Computed, not measured: a geometry-optimized LiCdSn2 structure at the PBE level of DFT.

POSCAR file:
```
LiCdSn2
1.0
4.660 0.000 0.000
0.000 4.660 0.000
0.000 0.000 4.298
Li Cd Sn
1 1 2
direct
0.000 0.000 0.000
0.500 0.500 0.000
0.000 0.500 0.500
0.500 0.000 0.500
```

Fermi-level density of states   1.1 states/eV per cell
M_tot   0.000 μB per atom
Raw total energy   -11.4 eV per cell

Record 2
Computed, not measured: a geometry-optimized MgAg2SbI structure at the PBE level of DFT.

POSCAR file:
```
MgAg2SbI
1.0
5.098 0.000 0.000
0.000 5.098 0.000
0.000 0.000 5.685
Mg Ag Sb I
1 2 1 1
direct
0.000 0.000 0.000
0.000 0.500 0.000
0.500 0.000 0.000
0.500 0.500 0.500
0.000 0.000 0.500
```

Fermi-level density of states   4.1 states/eV per cell
E_form (uncorrected)   620 meV/atom
M_tot   0.000 μB per atom